1.
K2Cd3Bi2 | PBE | relaxed

Summary:
Symmetry: C2/m
Final energy: -2.012 eV/atom

a = 6.8980 Å, b = 6.8980 Å, c = 7.7924 Å
α = 112.63°, β = 112.63°, γ = 42.98°
Positions (direct):
K1 0.1499 0.1499 0.2784
K2 0.8501 0.8501 0.7216
Cd1 0.4083 0.4083 0.0606
Cd2 0.5000 0.5000 0.5000
Cd3 0.5917 0.5917 0.9394
Bi1 0.1509 0.1509 0.7668
Bi2 0.8491 0.8491 0.2332

=====

2.
LaTbNd3Sc | PBE | relaxed

Summary:
Symmetry: Cmcm
Final energy: -4.991 eV/atom

a = 8.0855 Å, b = 8.0855 Å, c = 10.1186 Å
α = 90.00°, β = 90.00°, γ = 143.24°
Positions (direct):
La1 0.0000 0.0000 0.0000
La2 0.0000 0.0000 0.5000
Tb1 0.4962 0.5038 0.7500
Tb2 0.5038 0.4962 0.2500
Nd1 0.1701 0.8299 0.7500
Nd2 0.3318 0.6682 0.5021
Nd3 0.3318 0.6682 0.9979
Nd4 0.6682 0.3318 0.0021
Nd5 0.6682 0.3318 0.4979
Nd6 0.8299 0.1701 0.2500
Sc1 0.1659 0.8341 0.2500
Sc2 0.8341 0.1659 0.7500

=====

3.
LaCdIn | PBE | relaxed

Summary:
Symmetry: P1
Final energy: -3.212 eV/atom

a = 5.0139 Å, b = 6.4431 Å, c = 6.5203 Å
α = 61.23°, β = 77.45°, γ = 67.65°
Positions (direct):
La1 0.0000 0.0000 0.0000
La2 0.2957 0.7567 0.5416
Cd1 0.3369 0.3124 0.0863
Cd2 0.5885 0.1431 0.5583
In1 0.7073 0.6182 0.9781
In2 0.9620 0.4403 0.4605

=====

4.
LaV3Pb | PBE | relaxed

Summary:
Symmetry: Pm-3m
Final energy: -5.582 eV/atom

a = 4.7062 Å, b = 4.7062 Å, c = 4.7062 Å
α = 90.00°, β = 90.00°, γ = 90.00°
Positions (direct):
La1 0.0000 0.0000 0.0000
V1 0.0000 0.0000 0.5000
V2 0.0000 0.5000 0.0000
V3 0.5000 0.0000 0.0000
Pb1 0.5000 0.5000 0.5000

=====

- Which value of final energy does entry 4 give?
  -5.582 eV/atom

=====

- What is the final energy in the second record?
  -4.991 eV/atom

=====

- The highest final energy belongs to which entry?
  K2Cd3Bi2